# 1
! BeHg2Bi PBE relaxed; values from VASP
&SYSTEM
  ibrav = 0, nat = 4, ntyp = 3
/
ATOMIC_SPECIES
Hg 200.59 Hg.upf
Bi 208.98 Bi.upf
Be 9.01 Be.upf
CELL_PARAMETERS angstrom
0.0000 3.6185 3.6185
3.6185 0.0000 3.6185
3.6185 3.6185 0.0000
ATOMIC_POSITIONS crystal
Hg 0.7500 0.7500 0.7500
Hg 0.2500 0.2500 0.2500
Bi 0.5000 0.5000 0.5000
Be 0.0000 0.0000 0.0000
! Density ... 10.85 g cm⁻³
! ΔE to the lowest computed polymorph ... 0.75 eV per formula unit

---

# 2
! Fe2TcPt PBE relaxed; values from VASP
&SYSTEM
  ibrav = 0, nat = 4, ntyp = 3
/
ATOMIC_SPECIES
Fe 55.84 Fe.upf
Pt 195.08 Pt.upf
Tc 98.00 Tc.upf
CELL_PARAMETERS angstrom
-0.6493 1.5493 -2.0803
-2.0422 -1.6276 -0.5747
-4.4884 4.0677 4.4301
ATOMIC_POSITIONS crystal
Fe 0.0000 0.0000 0.9944
Fe 0.0000 0.0000 0.5056
Pt 0.5000 0.5000 0.2500
Tc 0.5000 0.5000 0.7500
! Density ... 12.53 g cm⁻³
! ΔE to the lowest computed polymorph ... 0.07 eV per formula unit

---

no.,ΔE_f (meV/atom)
1,596
2,-33